4
Lattice="1.4351 0.8285 11.1879 -1.4351 0.8285 11.1879 0.0000 -1.6571 11.1879" Properties=species:S:1:pos:R:3 comment="Cd2GePt (PBE, optimized geometry)" mass_density_g_cm3=10.247 delta_e_f_mev_per_atom=176 pbc="T T T"
Cd 0.0000 0.0000 2.7808
Cd 0.0000 0.0000 30.7830
Ge 0.0000 0.0000 16.7819
Pt 0.0000 0.0000 0.0000



10
Lattice="5.3032 0.0000 0.0000 1.7118 5.6103 0.0000 1.9914 1.1766 6.1494" Properties=species:S:1:pos:R:3 comment="CdGe2Pt2 (PBE, optimized geometry)" mass_density_g_cm3=11.760 relative_energy_ev_per_atom=0.004 delta_e_f_mev_per_atom=-310 pbc="T T T"
Cd 1.5237 2.6404 1.4614
Cd 7.4827 4.1466 4.6879
Ge 3.3320 1.2647 6.0548
Ge 4.8810 4.8120 3.2507
Ge 4.1255 1.9749 2.8987
Ge 5.6744 5.5223 0.0946
Pt 1.8820 1.2118 4.0079
Pt 4.8722 3.0607 5.1071
Pt 4.1343 3.7262 1.0423
Pt 7.1245 5.5752 2.1415



4
Lattice="1.7340 1.0011 8.4473 -1.7340 1.0011 8.4473 0.0000 -2.0023 8.4473" Properties=species:S:1:pos:R:3 comment="CdGe2Pt (PBE, optimized geometry)" mass_density_g_cm3=8.545 delta_e_f_mev_per_atom=-104 pbc="T T T"
Cd 0.0000 0.0000 0.0000
Ge 0.0000 0.0000 2.6540
Ge 0.0000 0.0000 22.6879
Pt 0.0000 0.0000 12.6710



4
Lattice="3.3858 0.0000 0.0000 -1.6863 3.8854 0.0000 -0.1344 -1.5668 6.1601" Properties=species:S:1:pos:R:3 comment="CdGe2Pt (PBE, optimized geometry)" mass_density_g_cm3=9.278 delta_e_f_mev_per_atom=-91 pbc="T T T"
Cd 0.0000 0.0000 0.0000
Ge -0.0655 0.7668 4.2468
Ge 1.6306 1.5518 1.9133
Pt 1.6257 -0.7834 3.0800



4
Lattice="4.8833 0.0000 0.0000 0.0000 2.8802 0.0000 -2.4099 0.0000 5.5527" Properties=species:S:1:pos:R:3 comment="CdGe2Pt (PBE, optimized geometry)" mass_density_g_cm3=9.627 delta_e_f_mev_per_atom=-177 pbc="T T T"
Cd 0.0000 0.0000 0.0000
Ge 0.0160 0.0000 3.3441
Ge 2.4575 0.0000 2.2087
Pt 2.4417 1.4401 0.0000



4
Lattice="6.1057 -2.3143 0.0000 6.1057 2.3143 0.0000 -0.6571 0.0000 2.8666" Properties=species:S:1:pos:R:3 comment="CdGe2Pt (PBE, optimized geometry)" mass_density_g_cm3=9.281 delta_e_f_mev_per_atom=-156 pbc="T T T"
Cd 0.0000 0.0000 0.0000
Ge 3.7326 0.0000 0.9149
Ge 8.5782 0.0000 0.5663
Pt 6.2196 0.0000 1.5329



4
Lattice="0.0000 3.2403 3.2403 3.2403 0.0000 3.2403 3.2403 3.2403 0.0000" Properties=species:S:1:pos:R:3 comment="CdGePt2 (PBE, optimized geometry)" mass_density_g_cm3=14.037 relative_energy_ev_per_atom=0.223 delta_e_f_mev_per_atom=-182 pbc="T T T"
Cd 0.0000 0.0000 0.0000
Ge 3.2403 3.2403 3.2403
Pt 1.6202 1.6202 1.6202
Pt 4.8605 4.8605 4.8605



5
Lattice="-1.9113 1.9113 6.7769 1.9113 -1.9113 6.7769 1.9113 1.9113 -6.7769" Properties=species:S:1:pos:R:3 comment="Cd2GePt2 (PBE, optimized geometry)" mass_density_g_cm3=11.531 relative_energy_ev_per_atom=0.410 delta_e_f_mev_per_atom=43 pbc="T T T"
Cd 1.9113 0.0000 3.3884
Cd 0.0000 1.9113 3.3884
Ge 0.0000 0.0000 0.0000
Pt 0.0000 0.0000 5.4762
Pt 0.0000 0.0000 8.0776



5
Lattice="3.7114 -2.1471 0.0000 3.7114 2.1471 0.0000 -0.0044 0.0000 6.0492" Properties=species:S:1:pos:R:3 comment="CdGe2Pt2 (PBE, optimized geometry)" mass_density_g_cm3=11.159 relative_energy_ev_per_atom=0.000 delta_e_f_mev_per_atom=-315 pbc="T T T"
Cd 0.0000 0.0000 0.0000
Ge 2.4684 0.0000 2.0032
Ge 4.9500 0.0000 4.0460
Pt 2.4739 0.0000 4.5519
Pt 4.9446 0.0000 1.4973



10
Lattice="6.6291 0.0000 0.0000 0.0000 6.6291 0.0000 0.0000 0.0000 4.2833" Properties=species:S:1:pos:R:3 comment="Cd2GePt2 (PBE, optimized geometry)" mass_density_g_cm3=12.132 relative_energy_ev_per_atom=0.104 delta_e_f_mev_per_atom=-262 pbc="T T T"
Cd 1.0311 2.2835 0.0000
Cd 2.2835 5.5980 0.0000
Cd 4.3457 1.0311 0.0000
Cd 5.5980 4.3457 0.0000
Ge 0.0000 0.0000 2.1416
Ge 3.3146 3.3146 2.1416
Pt 1.0126 4.3272 2.1416
Pt 2.3020 1.0126 2.1416
Pt 4.3272 5.6165 2.1416
Pt 5.6165 2.3020 2.1416



5
Lattice="4.9370 0.0000 0.0000 0.0000 4.9370 0.0000 0.0000 0.0000 4.9370" Properties=species:S:1:pos:R:3 comment="CdGe3Pt (PBE, optimized geometry)" mass_density_g_cm3=7.250 relative_energy_ev_per_atom=0.000 delta_e_f_mev_per_atom=284 pbc="T T T"
Cd 0.0000 0.0000 0.0000
Ge 0.0000 2.4685 2.4685
Ge 2.4685 0.0000 2.4685
Ge 2.4685 2.4685 0.0000
Pt 2.4685 2.4685 2.4685



4
Lattice="4.0207 0.0000 0.0000 1.9595 4.0062 0.0000 1.9986 1.2565 4.9497" Properties=species:S:1:pos:R:3 comment="CdGe2Pt (PBE, optimized geometry)" mass_density_g_cm3=9.430 delta_e_f_mev_per_atom=-121 pbc="T T T"
Cd 0.0000 0.0000 0.0000
Ge 2.0282 1.6819 1.6972
Ge 4.0070 2.8275 3.5050
Pt 6.0085 4.3334 2.7660



Number 1: density of states at the Fermi level 2.71 states/eV/f.u.. Number 2: density of states at the Fermi level 1.72 states/eV/f.u.. Number 3: density of states at the Fermi level 1.70 states/eV/f.u.. Number 4: density of states at the Fermi level 1.13 states/eV/f.u.. Number 5: density of states at the Fermi level 2.09 states/eV/f.u.. Number 6: density of states at the Fermi level 1.26 states/eV/f.u.. Number 7: density of states at the Fermi level 2.83 states/eV/f.u.. Number 8: density of states at the Fermi level 2.13 states/eV/f.u.. Number 9: density of states at the Fermi level 2.70 states/eV/f.u.. Number 10: density of states at the Fermi level 1.71 states/eV/f.u.. Number 11: density of states at the Fermi level 1.62 states/eV/f.u.. Number 12: density of states at the Fermi level 1.36 states/eV/f.u..